P | DFT (PBE) results for crystalline Pm6Nd4Dy at its relaxed geometry.

Lattice parameters (Å, degrees): 8.706 8.706 8.706 127.94 127.94 76.72
Positions (direct):
Pm: 0.000 0.500 0.500
Pm: 0.038 0.588 0.000
Pm: 0.412 0.412 0.451
Pm: 0.500 0.000 0.500
Pm: 0.588 0.038 0.000
Pm: 0.962 0.962 0.549
Nd: 0.247 0.247 0.654
Nd: 0.407 0.753 0.000
Nd: 0.593 0.593 0.346
Nd: 0.753 0.407 0.000
Dy: 0.000 0.000 0.000

Values from the calculation:
symmetry: I-42m
crystal system: tetragonal
V: 36.2 Å³/atom
M_tot: 0.000 μB per formula unit

Q | DFT (PBE) results for crystalline Pm6Nd4Dy at its relaxed geometry.

Lattice parameters (Å, degrees): 9.820 9.820 9.820 139.79 139.79 58.17
Positions (direct):
Pm: 0.000 0.500 0.500
Pm: 0.052 0.699 0.000
Pm: 0.301 0.301 0.352
Pm: 0.500 0.000 0.500
Pm: 0.699 0.052 0.000
Pm: 0.948 0.948 0.648
Nd: 0.134 0.134 0.621
Nd: 0.487 0.866 0.000
Nd: 0.513 0.513 0.379
Nd: 0.866 0.487 0.000
Dy: 0.500 0.500 0.000

Values from the calculation:
symmetry: I-42m
crystal system: tetragonal
V: 35.6 Å³/atom
M_tot: 0.000 μB per formula unit

Here is how they stack up, most stable first: Q, P.

P | DFT (PBE) results for crystalline Pm3NdDy5 at its relaxed geometry.

Lattice parameters (Å, degrees): 10.629 10.629 11.523 120.29 120.29 33.44
Positions (direct):
Pm: 0.000 0.000 0.000
Pm: 0.000 0.000 0.500
Pm: 0.035 0.599 0.963
Pm: 0.401 0.965 0.537
Pm: 0.599 0.035 0.463
Pm: 0.965 0.401 0.037
Nd: 0.098 0.902 0.250
Nd: 0.902 0.098 0.750
Dy: 0.027 0.615 0.662
Dy: 0.176 0.543 0.358
Dy: 0.385 0.973 0.838
Dy: 0.417 0.583 0.750
Dy: 0.457 0.824 0.142
Dy: 0.543 0.176 0.858
Dy: 0.583 0.417 0.250
Dy: 0.615 0.027 0.162
Dy: 0.824 0.457 0.642
Dy: 0.973 0.385 0.338

Values from the calculation:
symmetry: C2/c
crystal system: monoclinic
V: 33.9 Å³/atom
M_tot: 0.000 μB per formula unit

Q | DFT (PBE) results for crystalline Pm3NdDy5 at its relaxed geometry.

Lattice parameters (Å, degrees): 9.954 9.954 9.954 128.11 128.11 76.44
Positions (direct):
Pm: 0.118 0.618 0.735
Pm: 0.250 0.250 0.000
Pm: 0.382 0.118 0.500
Pm: 0.618 0.882 0.500
Pm: 0.750 0.750 0.000
Pm: 0.882 0.382 0.265
Nd: 0.250 0.750 0.500
Nd: 0.750 0.250 0.500
Dy: 0.000 0.000 0.000
Dy: 0.071 0.155 0.500
Dy: 0.155 0.655 0.084
Dy: 0.345 0.429 0.500
Dy: 0.429 0.929 0.084
Dy: 0.500 0.500 0.000
Dy: 0.571 0.071 0.916
Dy: 0.655 0.571 0.500
Dy: 0.845 0.345 0.916
Dy: 0.929 0.845 0.500

Values from the calculation:
symmetry: I4/mcm
crystal system: tetragonal
V: 33.0 Å³/atom
M_tot: 0.000 μB per formula unit

Here is how they stack up, most stable first: Q, P.

P | DFT (PBE) results for crystalline PmNd12Dy6 at its relaxed geometry.

Lattice parameters (Å, degrees): 8.990 8.990 8.990 98.83 98.83 98.83
Positions (direct):
Pm: 0.000 0.000 0.000
Nd: 0.116 0.500 0.884
Nd: 0.116 0.884 0.500
Nd: 0.181 0.465 0.465
Nd: 0.465 0.181 0.465
Nd: 0.465 0.465 0.181
Nd: 0.500 0.116 0.884
Nd: 0.500 0.884 0.116
Nd: 0.535 0.535 0.819
Nd: 0.535 0.819 0.535
Nd: 0.819 0.535 0.535
Nd: 0.884 0.116 0.500
Nd: 0.884 0.500 0.116
Dy: 0.204 0.204 0.747
Dy: 0.204 0.747 0.204
Dy: 0.253 0.796 0.796
Dy: 0.747 0.204 0.204
Dy: 0.796 0.253 0.796
Dy: 0.796 0.796 0.253

Values from the calculation:
symmetry: R-3m
crystal system: trigonal
V: 36.7 Å³/atom
M_tot: 0.000 μB per formula unit

Q | DFT (PBE) results for crystalline PmNd12Dy6 at its relaxed geometry.

Lattice parameters (Å, degrees): 8.874 8.874 8.874 99.15 99.15 99.15
Positions (direct):
Pm: 0.000 0.000 0.000
Nd: 0.083 0.354 0.354
Nd: 0.241 0.500 0.759
Nd: 0.241 0.759 0.500
Nd: 0.354 0.083 0.354
Nd: 0.354 0.354 0.083
Nd: 0.500 0.241 0.759
Nd: 0.500 0.759 0.241
Nd: 0.646 0.646 0.917
Nd: 0.646 0.917 0.646
Nd: 0.759 0.241 0.500
Nd: 0.759 0.500 0.241
Nd: 0.917 0.646 0.646
Dy: 0.097 0.097 0.663
Dy: 0.097 0.663 0.097
Dy: 0.337 0.903 0.903
Dy: 0.663 0.097 0.097
Dy: 0.903 0.337 0.903
Dy: 0.903 0.903 0.337

Values from the calculation:
symmetry: R-3m
crystal system: trigonal
V: 35.2 Å³/atom
M_tot: 0.000 μB per formula unit

Here is how they stack up, most stable first: Q, P.

P | DFT (PBE) results for crystalline Pm2NdDy6 at its relaxed geometry.

Lattice parameters (Å, degrees): 9.818 9.818 3.499 100.21 100.21 63.57
Positions (direct):
Pm: 0.158 0.158 0.157
Pm: 0.842 0.842 0.843
Nd: 0.500 0.500 0.000
Dy: 0.155 0.489 0.821
Dy: 0.185 0.815 0.500
Dy: 0.489 0.155 0.821
Dy: 0.511 0.845 0.179
Dy: 0.815 0.185 0.500
Dy: 0.845 0.511 0.179

Values from the calculation:
symmetry: C2/m
crystal system: monoclinic
V: 32.8 Å³/atom
M_tot: 0.000 μB per formula unit

Q | DFT (PBE) results for crystalline Pm2NdDy6 at its relaxed geometry.

Lattice parameters (Å, degrees): 7.663 7.663 7.663 58.00 58.00 58.00
Positions (direct):
Pm: 0.000 0.000 0.000
Pm: 0.175 0.175 0.175
Nd: 0.439 0.439 0.439
Dy: 0.139 0.706 0.706
Dy: 0.495 0.495 0.970
Dy: 0.495 0.970 0.495
Dy: 0.706 0.139 0.706
Dy: 0.706 0.706 0.139
Dy: 0.970 0.495 0.495

Values from the calculation:
symmetry: R3m
crystal system: trigonal
V: 33.7 Å³/atom
M_tot: 0.000 μB per formula unit

Here is how they stack up, most stable first: P, Q.

P | DFT (PBE) results for crystalline PmNd2Dy at its relaxed geometry.

Lattice parameters (Å, degrees): 5.783 5.783 5.783 60.00 60.00 60.00
Positions (direct):
Pm: 0.000 0.000 0.000
Nd: 0.250 0.250 0.250
Nd: 0.750 0.750 0.750
Dy: 0.500 0.500 0.500

Values from the calculation:
symmetry: Fm-3m
crystal system: cubic
V: 34.2 Å³/atom
M_tot: 0.000 μB per formula unit

Q | DFT (PBE) results for crystalline PmNd2Dy at its relaxed geometry.

Lattice parameters (Å, degrees): 7.034 7.034 7.034 149.38 129.13 60.55
Positions (direct):
Pm: 0.000 0.000 0.000
Nd: 0.484 0.484 0.000
Nd: 0.743 0.243 0.500
Dy: 0.241 0.741 0.500

Values from the calculation:
symmetry: Imm2
crystal system: orthorhombic
V: 34.1 Å³/atom
M_tot: 0.000 μB per formula unit

Here is how they stack up, most stable first: Q, P.

P | DFT (PBE) results for crystalline PmNd2Dy at its relaxed geometry.

Lattice parameters (Å, degrees): 4.270 4.270 7.490 90.00 90.00 90.00
Positions (direct):
Pm: 0.000 0.000 0.000
Nd: 0.500 0.500 0.256
Nd: 0.500 0.500 0.744
Dy: 0.000 0.000 0.500

Values from the calculation:
symmetry: P4/mmm
crystal system: tetragonal
V: 34.1 Å³/atom
M_tot: 0.000 μB per formula unit

Q | DFT (PBE) results for crystalline PmNd2Dy at its relaxed geometry.

Lattice parameters (Å, degrees): 5.148 5.148 5.135 90.00 90.00 90.00
Positions (direct):
Pm: 0.000 0.000 0.000
Nd: 0.000 0.500 0.500
Nd: 0.500 0.000 0.500
Dy: 0.500 0.500 0.000

Values from the calculation:
symmetry: P4/mmm
crystal system: tetragonal
V: 34.0 Å³/atom
M_tot: 0.000 μB per formula unit

Here is how they stack up, most stable first: Q, P.

P | DFT (PBE) results for crystalline Pm8NdDy2 at its relaxed geometry.

Lattice parameters (Å, degrees): 10.319 10.319 5.681 93.20 93.20 40.10
Positions (direct):
Pm: 0.045 0.045 0.238
Pm: 0.100 0.635 0.269
Pm: 0.312 0.312 0.769
Pm: 0.365 0.900 0.731
Pm: 0.635 0.100 0.269
Pm: 0.688 0.688 0.231
Pm: 0.900 0.365 0.731
Pm: 0.955 0.955 0.762
Nd: 0.500 0.500 0.000
Dy: 0.215 0.215 0.255
Dy: 0.785 0.785 0.745

Values from the calculation:
symmetry: C2/m
crystal system: monoclinic
V: 35.4 Å³/atom
M_tot: 0.000 μB per formula unit

Q | DFT (PBE) results for crystalline Pm8NdDy2 at its relaxed geometry.

Lattice parameters (Å, degrees): 6.972 6.972 9.123 100.81 100.81 61.42
Positions (direct):
Pm: 0.157 0.157 0.002
Pm: 0.167 0.719 0.674
Pm: 0.208 0.208 0.659
Pm: 0.281 0.833 0.326
Pm: 0.719 0.167 0.674
Pm: 0.792 0.792 0.341
Pm: 0.833 0.281 0.326
Pm: 0.843 0.843 0.998
Nd: 0.500 0.500 0.000
Dy: 0.333 0.333 0.348
Dy: 0.667 0.667 0.652

Values from the calculation:
symmetry: C2/m
crystal system: monoclinic
V: 34.5 Å³/atom
M_tot: 0.000 μB per formula unit

Here is how they stack up, most stable first: Q, P.

P | DFT (PBE) results for crystalline Pm3Nd7Dy2 at its relaxed geometry.

Lattice parameters (Å, degrees): 11.975 11.975 11.975 32.28 32.28 32.28
Positions (direct):
Pm: 0.000 0.000 0.000
Pm: 0.152 0.152 0.152
Pm: 0.848 0.848 0.848
Nd: 0.078 0.587 0.587
Nd: 0.413 0.413 0.922
Nd: 0.413 0.922 0.413
Nd: 0.500 0.500 0.500
Nd: 0.587 0.078 0.587
Nd: 0.587 0.587 0.078
Nd: 0.922 0.413 0.413
Dy: 0.334 0.334 0.334
Dy: 0.666 0.666 0.666

Values from the calculation:
symmetry: R-3m
crystal system: trigonal
V: 36.3 Å³/atom
M_tot: 0.001 μB per formula unit

Q | DFT (PBE) results for crystalline Pm3Nd7Dy2 at its relaxed geometry.

Lattice parameters (Å, degrees): 5.967 3.632 19.262 90.00 93.24 90.00
Positions (direct):
Pm: 0.000 0.000 0.000
Pm: 0.282 0.500 0.634
Pm: 0.718 0.500 0.366
Nd: 0.182 0.500 0.145
Nd: 0.243 0.000 0.465
Nd: 0.316 0.000 0.818
Nd: 0.500 0.500 0.000
Nd: 0.684 0.000 0.182
Nd: 0.757 0.000 0.535
Nd: 0.818 0.500 0.855
Dy: 0.208 0.000 0.296
Dy: 0.792 0.000 0.704

Values from the calculation:
symmetry: P2/m
crystal system: monoclinic
V: 34.7 Å³/atom
M_tot: 0.000 μB per formula unit

Here is how they stack up, most stable first: Q, P.

P | DFT (PBE) results for crystalline PmNd6Dy12 at its relaxed geometry.

Lattice parameters (Å, degrees): 8.893 8.893 8.893 100.10 100.10 100.10
Positions (direct):
Pm: 0.000 0.000 0.000
Nd: 0.220 0.219 0.738
Nd: 0.220 0.738 0.220
Nd: 0.262 0.781 0.780
Nd: 0.738 0.220 0.220
Nd: 0.781 0.262 0.781
Nd: 0.781 0.781 0.262
Dy: 0.115 0.500 0.885
Dy: 0.115 0.885 0.500
Dy: 0.169 0.453 0.453
Dy: 0.453 0.169 0.453
Dy: 0.453 0.453 0.169
Dy: 0.500 0.115 0.885
Dy: 0.500 0.885 0.115
Dy: 0.547 0.547 0.831
Dy: 0.547 0.831 0.547
Dy: 0.831 0.547 0.547
Dy: 0.885 0.115 0.500
Dy: 0.885 0.500 0.115

Values from the calculation:
symmetry: R-3m
crystal system: trigonal
V: 35.1 Å³/atom
M_tot: 0.003 μB per formula unit

Q | DFT (PBE) results for crystalline PmNd6Dy12 at its relaxed geometry.

Lattice parameters (Å, degrees): 8.769 8.769 8.769 98.71 98.71 98.71
Positions (direct):
Pm: 0.000 0.000 0.000
Nd: 0.098 0.098 0.655
Nd: 0.098 0.655 0.098
Nd: 0.345 0.902 0.902
Nd: 0.655 0.098 0.098
Nd: 0.902 0.345 0.902
Nd: 0.902 0.902 0.345
Dy: 0.082 0.356 0.356
Dy: 0.243 0.500 0.757
Dy: 0.243 0.757 0.500
Dy: 0.356 0.082 0.356
Dy: 0.356 0.356 0.082
Dy: 0.500 0.243 0.757
Dy: 0.500 0.757 0.243
Dy: 0.644 0.644 0.918
Dy: 0.644 0.918 0.644
Dy: 0.757 0.243 0.500
Dy: 0.757 0.500 0.243
Dy: 0.918 0.644 0.644

Values from the calculation:
symmetry: R-3m
crystal system: trigonal
V: 34.1 Å³/atom
M_tot: 0.000 μB per formula unit

Here is how they stack up, most stable first: Q, P.

P | DFT (PBE) results for crystalline Pm7NdDy4 at its relaxed geometry.

Lattice parameters (Å, degrees): 6.769 6.769 12.782 114.88 114.88 52.87
Positions (direct):
Pm: 0.000 0.000 0.000
Pm: 0.130 0.130 0.502
Pm: 0.290 0.290 0.080
Pm: 0.440 0.440 0.672
Pm: 0.560 0.560 0.328
Pm: 0.710 0.710 0.920
Pm: 0.870 0.870 0.498
Nd: 0.500 0.500 0.000
Dy: 0.137 0.137 0.775
Dy: 0.251 0.251 0.318
Dy: 0.749 0.749 0.682
Dy: 0.863 0.863 0.225

Values from the calculation:
symmetry: C2/m
crystal system: monoclinic
V: 34.4 Å³/atom
M_tot: 0.000 μB per formula unit

Q | DFT (PBE) results for crystalline Pm7NdDy4 at its relaxed geometry.

Lattice parameters (Å, degrees): 6.322 7.294 8.998 90.00 76.34 89.99
Positions (direct):
Pm: 0.000 0.000 0.000
Pm: 0.222 0.500 0.334
Pm: 0.280 0.752 0.664
Pm: 0.500 0.247 0.999
Pm: 0.500 0.753 0.001
Pm: 0.720 0.248 0.336
Pm: 0.778 0.500 0.666
Nd: 0.000 0.500 0.000
Dy: 0.219 0.000 0.335
Dy: 0.279 0.247 0.666
Dy: 0.721 0.753 0.334
Dy: 0.781 0.000 0.665

Values from the calculation:
symmetry: P-1
crystal system: triclinic
V: 33.6 Å³/atom
M_tot: 0.000 μB per formula unit

Here is how they stack up, most stable first: Q, P.